(1)
This record from Alexandria via LeMat-Bulk describes a relaxed structure of Dy5TlOs2. The functional is GGA-PBE.

Summary:
Formation energy from the elements = -0.3145 eV per atom
Fermi-level density of states = 5.06 states/eV/f.u.
Total energy = -6.29 eV/atom

The structure in CIF format:
```
data_Dy5TlOs2
_chemical_formula_sum 'Dy20 Tl4 Os8'
_symmetry_space_group_name_H-M 'I 4/m c m'
_symmetry_Int_Tables_number 140
_symmetry_space_group_name_Hall '-I 4 2c'
_cell_length_a 7.7429
_cell_length_b 7.7429
_cell_length_c 13.7026
_cell_angle_alpha 90.00
_cell_angle_beta 90.00
_cell_angle_gamma 90.00
loop_
_atom_site_label
_atom_site_type_symbol
_atom_site_fract_x
_atom_site_fract_y
_atom_site_fract_z
_atom_site_occupancy
Dy1 Dy 0.0000 0.0000 0.0000 1
Dy2 Dy 0.1600 0.3400 0.1312 1
Tl1 Tl 0.0000 0.0000 0.2500 1
Os1 Os 0.1395 0.3605 0.5000 1
```



(2)
This record from Alexandria via LeMat-Bulk describes a relaxed structure of NiTePd. The functional is GGA-PBE.

Summary:
Fermi-level density of states = 2.42 states/eV/f.u.
Energy relative to the elements, uncorrected = -0.145 eV/atom
Total energy = -4.85 eV/atom

The structure in CIF format:
```
data_NiTePd
_chemical_formula_sum 'Ni4 Te4 Pd4'
_symmetry_space_group_name_H-M 'F -4 3 m'
_symmetry_Int_Tables_number 216
_symmetry_space_group_name_Hall 'F -4 2 3'
_cell_length_a 6.0018
_cell_length_b 6.0018
_cell_length_c 6.0018
_cell_angle_alpha 90.00
_cell_angle_beta 90.00
_cell_angle_gamma 90.00
loop_
_atom_site_label
_atom_site_type_symbol
_atom_site_fract_x
_atom_site_fract_y
_atom_site_fract_z
_atom_site_occupancy
Ni1 Ni 0.0000 0.0000 0.0000 1
Te1 Te 0.2500 0.2500 0.2500 1
Pd1 Pd 0.2500 0.2500 0.7500 1
```



(3)
This record from Alexandria via LeMat-Bulk describes a relaxed structure of LiLa2CuH. The functional is GGA-PBE.

Summary:
Fermi-level density of states = 5.01 states/eV/f.u.
Total energy = -3.96 eV/atom

The structure in CIF format:
```
data_LiLa2CuH
_chemical_formula_sum 'Li1 La2 Cu1 H1'
_symmetry_space_group_name_H-M 'P 4/m m m'
_symmetry_Int_Tables_number 123
_symmetry_space_group_name_Hall '-P 4 2'
_cell_length_a 5.1336
_cell_length_b 5.1336
_cell_length_c 3.9725
_cell_angle_alpha 90.00
_cell_angle_beta 90.00
_cell_angle_gamma 90.00
loop_
_atom_site_label
_atom_site_type_symbol
_atom_site_fract_x
_atom_site_fract_y
_atom_site_fract_z
_atom_site_occupancy
Li1 Li 0.0000 0.0000 0.0000 1
La1 La 0.0000 0.5000 0.5000 1
Cu1 Cu 0.5000 0.5000 0.0000 1
H1 H 0.5000 0.5000 0.5000 1
```



(4)
This record from Alexandria via LeMat-Bulk describes a relaxed structure of SrMn3Sb. The functional is GGA-PBE.

Summary:
Fermi-level density of states = 9.46 states/eV/f.u.
Energy relative to the elements, uncorrected = 0.655 eV/atom
Total energy = -6.01 eV/atom

The structure in CIF format:
```
data_SrMn3Sb
_chemical_formula_sum 'Sr1 Mn3 Sb1'
_symmetry_space_group_name_H-M 'P m -3 m'
_symmetry_Int_Tables_number 221
_symmetry_space_group_name_Hall '-P 4 2 3'
_cell_length_a 5.0751
_cell_length_b 5.0751
_cell_length_c 5.0751
_cell_angle_alpha 90.00
_cell_angle_beta 90.00
_cell_angle_gamma 90.00
loop_
_atom_site_label
_atom_site_type_symbol
_atom_site_fract_x
_atom_site_fract_y
_atom_site_fract_z
_atom_site_occupancy
Sr1 Sr 0.0000 0.0000 0.0000 1
Mn1 Mn 0.0000 0.5000 0.5000 1
Sb1 Sb 0.5000 0.5000 0.5000 1
```



(5)
This record from Alexandria via LeMat-Bulk describes a relaxed structure of SrMg3. The functional is GGA-PBE.

Summary:
Formation energy from the elements = 0.1173 eV per atom
Fermi-level density of states = 3.52 states/eV/f.u.
Total energy = -1.50 eV/atom

The structure in CIF format:
```
data_SrMg3
_chemical_formula_sum 'Sr3 Mg9'
_symmetry_space_group_name_H-M 'R -3 m'
_symmetry_Int_Tables_number 166
_symmetry_space_group_name_Hall '-R 3 2"'
_cell_length_a 11.1447
_cell_length_b 11.1447
_cell_length_c 3.3251
_cell_angle_alpha 90.00
_cell_angle_beta 90.00
_cell_angle_gamma 120.00
loop_
_atom_site_label
_atom_site_type_symbol
_atom_site_fract_x
_atom_site_fract_y
_atom_site_fract_z
_atom_site_occupancy
Sr1 Sr 0.0000 0.0000 0.0000 1
Mg1 Mg 0.0000 0.5000 0.0000 1
```



(6)
This record from Alexandria via LeMat-Bulk describes a relaxed structure of Dy2YPa. The functional is GGA-PBE.

Summary:
Formation energy from the elements = 0.1280 eV per atom
Fermi-level density of states = 6.45 states/eV/f.u.
Total energy = -6.16 eV/atom

The structure in CIF format:
```
data_Dy2YPa
_chemical_formula_sum 'Dy2 Y1 Pa1'
_symmetry_space_group_name_H-M 'P 4/m m m'
_symmetry_Int_Tables_number 123
_symmetry_space_group_name_Hall '-P 4 2'
_cell_length_a 3.4206
_cell_length_b 3.4206
_cell_length_c 10.1708
_cell_angle_alpha 90.00
_cell_angle_beta 90.00
_cell_angle_gamma 90.00
loop_
_atom_site_label
_atom_site_type_symbol
_atom_site_fract_x
_atom_site_fract_y
_atom_site_fract_z
_atom_site_occupancy
Dy1 Dy 0.0000 0.0000 0.2320 1
Y1 Y 0.5000 0.5000 0.5000 1
Pa1 Pa 0.5000 0.5000 0.0000 1
```



(7)
This record from Alexandria via LeMat-Bulk describes a relaxed structure of CsGaTe3. The functional is GGA-PBE.

Summary:
Energy relative to the elements, uncorrected = -0.598 eV/atom
Total energy = -3.26 eV/atom

The structure in CIF format:
```
data_CsGaTe3
_chemical_formula_sum 'Cs4 Ga4 Te12'
_symmetry_space_group_name_H-M 'P 1 21/c 1'
_symmetry_Int_Tables_number 14
_cell_length_a 8.2520
_cell_length_b 13.9904
_cell_length_c 7.6008
_cell_angle_alpha 90.00
_cell_angle_beta 101.36
_cell_angle_gamma 90.00
loop_
_symmetry_equiv_pos_as_xyz
'x,y,z'
'-x,-y,-z'
'-x,y+1/2,-z+1/2'
'x,-y+1/2,z+1/2'
loop_
_atom_site_label
_atom_site_type_symbol
_atom_site_fract_x
_atom_site_fract_y
_atom_site_fract_z
_atom_site_occupancy
Cs1 Cs 0.2479 0.0734 0.2200 1
Ga1 Ga 0.3317 0.7268 0.3487 1
Te1 Te 0.0588 0.6772 0.8744 1
Te2 Te 0.2226 0.5699 0.1631 1
Te3 Te 0.4857 0.1744 0.8416 1
```



(8)
This record from Alexandria via LeMat-Bulk describes a relaxed structure of ScCoMo. The functional is GGA-PBE.

Summary:
Formation energy from the elements = 0.1965 eV per atom
Fermi-level density of states = 3.58 states/eV/f.u.
Total energy = -7.89 eV/atom

The structure in CIF format:
```
data_ScCoMo
_chemical_formula_sum 'Sc1 Co1 Mo1'
_symmetry_space_group_name_H-M 'P 3 m 1'
_symmetry_Int_Tables_number 156
_cell_length_a 4.3297
_cell_length_b 4.3297
_cell_length_c 2.9130
_cell_angle_alpha 90.00
_cell_angle_beta 90.00
_cell_angle_gamma 120.00
loop_
_symmetry_equiv_pos_as_xyz
'x,y,z'
'-y,x-y,z'
'-x+y,-x,z'
'-y,-x,z'
'-x+y,y,z'
'x,x-y,z'
loop_
_atom_site_label
_atom_site_type_symbol
_atom_site_fract_x
_atom_site_fract_y
_atom_site_fract_z
_atom_site_occupancy
Sc1 Sc 0.0000 0.0000 0.0000 1
Co1 Co 0.6667 0.3333 0.4055 1
Mo1 Mo 0.3333 0.6667 0.5747 1
```



(9)
This record from Alexandria via LeMat-Bulk describes a relaxed structure of Er3PaSb4. The functional is GGA-PBE.

Summary:
Fermi-level density of states = 6.29 states/eV/f.u.
Energy relative to the elements, uncorrected = -0.926 eV/atom
Total energy = -5.89 eV/atom

The structure in CIF format:
```
data_Er3PaSb4
_chemical_formula_sum 'Er6 Pa2 Sb8'
_symmetry_space_group_name_H-M 'I 4/m m m'
_symmetry_Int_Tables_number 139
_symmetry_space_group_name_Hall '-I 4 2'
_cell_length_a 6.1586
_cell_length_b 6.1586
_cell_length_c 12.2966
_cell_angle_alpha 90.00
_cell_angle_beta 90.00
_cell_angle_gamma 90.00
loop_
_atom_site_label
_atom_site_type_symbol
_atom_site_fract_x
_atom_site_fract_y
_atom_site_fract_z
_atom_site_occupancy
Er1 Er 0.0000 0.0000 0.0000 1
Er2 Er 0.0000 0.5000 0.2500 1
Pa1 Pa 0.0000 0.0000 0.5000 1
Sb1 Sb 0.0000 0.0000 0.2509 1
Sb2 Sb 0.0000 0.5000 0.0000 1
```



(10)
This record from Alexandria via LeMat-Bulk describes a relaxed structure of Cd2SbRhO6. The functional is GGA-PBE.

Summary:
Fermi-level density of states = 3.98 states/eV/f.u.
Energy relative to the elements, uncorrected = -0.790 eV/atom
Total energy = -5.10 eV/atom

The structure in CIF format:
```
data_Cd2SbRhO6
_chemical_formula_sum 'Cd2 Sb1 Rh1 O6'
_symmetry_space_group_name_H-M 'P 4 m m'
_symmetry_Int_Tables_number 99
_cell_length_a 5.7080
_cell_length_b 5.7080
_cell_length_c 4.0755
_cell_angle_alpha 90.00
_cell_angle_beta 90.00
_cell_angle_gamma 90.00
loop_
_symmetry_equiv_pos_as_xyz
'x,y,z'
'-y,x,z'
'-x,-y,z'
'y,-x,z'
'-x,y,z'
'y,x,z'
'x,-y,z'
'-y,-x,z'
loop_
_atom_site_label
_atom_site_type_symbol
_atom_site_fract_x
_atom_site_fract_y
_atom_site_fract_z
_atom_site_occupancy
Cd1 Cd 0.0000 0.5000 0.0000 1
Sb1 Sb 0.0000 0.0000 0.6134 1
Rh1 Rh 0.5000 0.5000 0.6204 1
O1 O 0.0000 0.0000 0.1330 1
O2 O 0.2467 0.2467 0.6862 1
O3 O 0.5000 0.5000 0.1295 1
```



(11)
This record from Alexandria via LeMat-Bulk describes a relaxed structure of Li3SmHg9. The functional is GGA-PBE.

Summary:
Formation energy from the elements = -0.2300 eV per atom
Fermi-level density of states = 7.41 states/eV/f.u.
Total energy = -1.24 eV/atom

The structure in CIF format:
```
data_Li3SmHg9
_chemical_formula_sum 'Li6 Sm2 Hg18'
_symmetry_space_group_name_H-M 'C 1 2/m 1'
_symmetry_Int_Tables_number 12
_cell_length_a 5.8886
_cell_length_b 14.1687
_cell_length_c 7.4692
_cell_angle_alpha 90.00
_cell_angle_beta 112.91
_cell_angle_gamma 90.00
loop_
_symmetry_equiv_pos_as_xyz
'x,y,z'
'-x,-y,-z'
'-x,y,-z'
'x,-y,z'
'x+1/2,y+1/2,z'
'-x+1/2,-y+1/2,-z'
'-x+1/2,y+1/2,-z'
'x+1/2,-y+1/2,z'
loop_
_atom_site_label
_atom_site_type_symbol
_atom_site_fract_x
_atom_site_fract_y
_atom_site_fract_z
_atom_site_occupancy
Li1 Li 0.0000 0.0000 0.0000 1
Li2 Li 0.2500 0.2500 0.5000 1
Sm1 Sm 0.0000 0.0000 0.5000 1
Hg1 Hg 0.0000 0.5000 0.0000 1
Hg2 Hg 0.1399 0.3910 0.7107 1
Hg3 Hg 0.1716 0.1748 0.8216 1
```